ZnMo2O | PBE+U | relaxed

uncorrected energy: -73.46 eV per cell
calculated volume: 295.7 Å³ per cell
DOS(E_F): 1.07 states/eV/cell
mass density: 6.14 g/cm3

Geometry as CIF:
```
data_ZnMo2O
_chemical_formula_sum 'Zn4 Mo8 O4'
_cell_length_a 5.446
_cell_length_b 5.446
_cell_length_c 9.969
_cell_angle_alpha 90.00
_cell_angle_beta 90.00
_cell_angle_gamma 90.00
_symmetry_space_group_name_H-M 'I -4 2 d'
_symmetry_Int_Tables_number 122
_symmetry_space_group_name_Hall 'I -4 2bw'
loop_
_atom_site_label
_atom_site_type_symbol
_atom_site_fract_x
_atom_site_fract_y
_atom_site_fract_z
Zn1 Zn 0.000 0.000 0.000
Mo1 Mo 0.163 0.250 0.625
O1 O 0.000 0.000 0.500
```